! CrGeAu3 PBEsol optimized geometry; values from VASP
&SYSTEM
  ibrav = 0, nat = 5, ntyp = 3
/
ATOMIC_SPECIES
Cr 52.00 Cr.upf
Ge 72.64 Ge.upf
Au 196.97 Au.upf
CELL_PARAMETERS angstrom
4.816 0.000 0.000
0.000 4.816 0.000
0.000 0.000 4.816
ATOMIC_POSITIONS angstrom
Cr 0.000 0.000 0.000
Ge 2.408 2.408 2.408
Au 0.000 0.000 2.408
Au 0.000 2.408 0.000
Au 2.408 0.000 0.000
! - Total moment: 0.774 μB/atom

---

! CrHgAu2 PBEsol optimized geometry; values from VASP
&SYSTEM
  ibrav = 0, nat = 4, ntyp = 3
/
ATOMIC_SPECIES
Cr 52.00 Cr.upf
Hg 200.59 Hg.upf
Au 196.97 Au.upf
CELL_PARAMETERS angstrom
1.508 0.871 8.919
-1.508 0.871 8.919
0.000 -1.742 8.919
ATOMIC_POSITIONS angstrom
Cr 0.000 0.000 0.000
Hg 0.000 0.000 13.379
Au 0.000 0.000 6.882
Au 0.000 0.000 19.876
! - Total moment: 0.891 μB/atom

---

! Cr2HgAu PBEsol optimized geometry; values from VASP
&SYSTEM
  ibrav = 0, nat = 4, ntyp = 3
/
ATOMIC_SPECIES
Cr 52.00 Cr.upf
Hg 200.59 Hg.upf
Au 196.97 Au.upf
CELL_PARAMETERS angstrom
-1.913 1.913 4.048
1.913 -1.913 4.048
1.913 1.913 -4.048
ATOMIC_POSITIONS angstrom
Cr 1.913 0.000 2.024
Cr 0.000 1.913 2.024
Hg 0.000 0.000 0.000
Au 0.000 0.000 4.048
! - Total moment: 0.000 μB/atom

---

! Cr2HgAu PBEsol optimized geometry; values from VASP
&SYSTEM
  ibrav = 0, nat = 4, ntyp = 3
/
ATOMIC_SPECIES
Cr 52.00 Cr.upf
Hg 200.59 Hg.upf
Au 196.97 Au.upf
CELL_PARAMETERS angstrom
3.015 0.000 0.000
0.000 3.015 0.000
0.000 0.000 6.796
ATOMIC_POSITIONS angstrom
Cr 0.000 0.000 0.000
Cr 1.508 1.508 1.082
Hg 0.000 0.000 2.997
Au 1.508 1.508 5.037
! - Total moment: 0.015 μB/atom

---

! CrHgAu2 PBEsol optimized geometry; values from VASP
&SYSTEM
  ibrav = 0, nat = 4, ntyp = 3
/
ATOMIC_SPECIES
Cr 52.00 Cr.upf
Hg 200.59 Hg.upf
Au 196.97 Au.upf
CELL_PARAMETERS angstrom
3.057 0.000 0.000
0.000 3.057 0.000
0.000 0.000 7.400
ATOMIC_POSITIONS angstrom
Cr 0.000 0.000 0.000
Hg 0.000 0.000 3.700
Au 1.528 1.528 1.652
Au 1.528 1.528 5.748
! - Total moment: 0.895 μB/atom

---

! CrHgAu2 PBEsol optimized geometry; values from VASP
&SYSTEM
  ibrav = 0, nat = 4, ntyp = 3
/
ATOMIC_SPECIES
Cr 52.00 Cr.upf
Hg 200.59 Hg.upf
Au 196.97 Au.upf
CELL_PARAMETERS angstrom
4.694 -1.554 0.000
4.694 1.554 0.000
-1.065 0.000 4.746
ATOMIC_POSITIONS angstrom
Cr 0.000 0.000 0.000
Hg 4.161 0.000 2.373
Au 1.630 0.000 3.624
Au 6.692 0.000 1.122
! - Total moment: 0.966 μB/atom

---

E_form, respectively: 1033; 269; 620; 259; 160; 217 meV per atom.